Record 1
Entry from Alexandria: crystalline Nd8CoSi3Br4 at its relaxed geometry (PBE).

Computed properties:
For the spin magnetization, the calculation gives 0.00 μB per cell. The uncorrected formation energy comes out at -0.953 eV/atom. As for the calculated volume: 28.7 A^3/atom. The uncorrected energy comes out at -5.22 eV per atom.

Lattice parameters (Å, degrees): 8.8463 8.8463 8.8463 57.27 57.27 57.27
Fractional coordinates of all 16 atoms:
1 Nd 0.2381 0.2381 0.2381
2 Nd 0.2503 0.7269 0.7269
3 Nd 0.2731 0.2731 0.7497
4 Nd 0.2731 0.7497 0.2731
5 Nd 0.7269 0.2503 0.7269
6 Nd 0.7269 0.7269 0.2503
7 Nd 0.7497 0.2731 0.2731
8 Nd 0.7619 0.7619 0.7619
9 Co 0.5000 0.5000 0.5000
10 Si 0.0000 0.0000 0.5000
11 Si 0.0000 0.5000 0.0000
12 Si 0.5000 0.0000 0.0000
13 Br 0.0000 0.0000 0.0000
14 Br 0.0000 0.5000 0.5000
15 Br 0.5000 0.0000 0.5000
16 Br 0.5000 0.5000 0.0000

***

Record 2
Entry from Alexandria: crystalline TbNd4In2 at its relaxed geometry (PBE).

Computed properties:
The calculation puts the relative energy among the computed polymorphs at 0.068 eV/atom. For the spin magnetization, the calculation gives 0.00 μB per cell. The calculation puts the formation energy at -0.109 eV per atom. As for the calculated volume: 33.9 A^3/atom. The uncorrected energy comes out at -4.28 eV per atom.

Lattice parameters (Å, degrees): 9.2396 9.2396 5.5540 90.00 90.00 90.00
Fractional coordinates of all 14 atoms:
1 Tb 0.0000 0.0000 0.0000
2 Tb 0.5000 0.5000 0.5000
3 Nd 0.0770 0.3264 0.5000
4 Nd 0.1736 0.5770 0.0000
5 Nd 0.3264 0.0770 0.5000
6 Nd 0.4230 0.8264 0.0000
7 Nd 0.5770 0.1736 0.0000
8 Nd 0.6736 0.9230 0.5000
9 Nd 0.8264 0.4230 0.0000
10 Nd 0.9230 0.6736 0.5000
11 In 0.2405 0.2405 0.0000
12 In 0.2595 0.7405 0.5000
13 In 0.7405 0.2595 0.5000
14 In 0.7595 0.7595 0.0000

***

Record 3
Entry from Alexandria: crystalline MgPaBeN3 at its relaxed geometry (PBE).

Computed properties:
For the spin magnetization, the calculation gives 0.00 μB per cell. The uncorrected formation energy comes out at -1.078 eV/atom. As for the calculated volume: 12.2 A^3/atom. The uncorrected energy comes out at -7.71 eV per atom.

Lattice parameters (Å, degrees): 5.0664 5.0664 9.2818 90.00 90.00 141.91
Fractional coordinates of all 12 atoms:
1 Mg 0.2474 0.7526 0.7500
2 Mg 0.7526 0.2474 0.2500
3 Pa 0.0000 0.0000 0.0000
4 Pa 0.0000 0.0000 0.5000
5 Be 0.4775 0.5225 0.2500
6 Be 0.5225 0.4775 0.7500
7 N 0.0796 0.9204 0.2500
8 N 0.3765 0.6235 0.0999
9 N 0.3765 0.6235 0.4001
10 N 0.6235 0.3765 0.5999
11 N 0.6235 0.3765 0.9001
12 N 0.9204 0.0796 0.7500

***

Record 4
Entry from Alexandria: crystalline Rb3Na2UO6 at its relaxed geometry (PBE).

Computed properties:
For the spin magnetization, the calculation gives 1.15 μB per cell. The uncorrected formation energy comes out at -2.001 eV/atom. As for the calculated volume: 17.8 A^3/atom. The uncorrected energy comes out at -5.88 eV per atom.

Lattice parameters (Å, degrees): 6.2179 6.2179 6.6775 98.57 98.57 120.10
Fractional coordinates of all 12 atoms:
1 Rb 0.0000 0.0000 0.0000
2 Rb 0.3218 0.6782 0.0000
3 Rb 0.6782 0.3218 0.0000
4 Na 0.1667 0.8333 0.5000
5 Na 0.8333 0.1667 0.5000
6 U 0.5000 0.5000 0.5000
7 O 0.1606 0.4373 0.3177
8 O 0.2895 0.2895 0.6919
9 O 0.4373 0.1606 0.3177
10 O 0.5627 0.8394 0.6823
11 O 0.7105 0.7105 0.3081
12 O 0.8394 0.5627 0.6823

***

Which value of calculated volume does entry 2 give? 33.9 A^3/atom

***

What is the spin magnetization in the first record? 0.00 μB per cell

***

Among the records above, which one has the highest uncorrected energy? TbNd4In2

***

Among the records above, which one has the lowest calculated volume? MgPaBeN3